GGA-PBE DyErCoSi2, relaxed; raw total energy = -6.200 eV/atom
1.0
5.182 -2.061 0.000
5.182 2.061 0.000
-4.825 0.000 8.710
Dy Er Co Si
2 2 2 4
Direct
0.187 0.187 0.107 Dy
0.813 0.813 0.893 Dy
0.002 0.002 0.329 Er
0.998 0.998 0.671 Er
0.272 0.272 0.620 Co
0.728 0.728 0.380 Co
0.351 0.351 0.434 Si
0.493 0.493 0.127 Si
0.507 0.507 0.873 Si
0.649 0.649 0.566 Si

***

GGA-PBE HfMo2As, relaxed; raw total energy = -8.976 eV/atom
1.0
6.453 0.000 0.000
0.000 6.453 0.000
0.000 0.000 6.453
Hf Mo As
4 8 4
Direct
0.000 0.000 0.000 Hf
0.000 0.500 0.500 Hf
0.500 0.000 0.500 Hf
0.500 0.500 0.000 Hf
0.000 0.000 0.500 Mo
0.000 0.500 0.000 Mo
0.250 0.250 0.250 Mo
0.250 0.750 0.750 Mo
0.500 0.000 0.000 Mo
0.500 0.500 0.500 Mo
0.750 0.250 0.750 Mo
0.750 0.750 0.250 Mo
0.250 0.250 0.750 As
0.250 0.750 0.250 As
0.750 0.250 0.250 As
0.750 0.750 0.750 As

***

GGA-PBE CsBaSmSe3, relaxed; raw total energy = -4.551 eV/atom
1.0
2.236 -9.384 0.000
2.236 9.384 0.000
0.000 0.000 12.674
Cs Ba Sm Se
2 2 2 6
Direct
0.160 0.840 0.750 Cs
0.840 0.160 0.250 Cs
0.102 0.898 0.250 Ba
0.898 0.102 0.750 Ba
0.500 0.500 0.000 Sm
0.500 0.500 0.500 Sm
0.103 0.897 0.005 Se
0.103 0.897 0.495 Se
0.490 0.510 0.250 Se
0.510 0.490 0.750 Se
0.897 0.103 0.505 Se
0.897 0.103 0.995 Se

***

GGA-PBE Nb2ReNi, relaxed; E_form = 0.36 eV per formula unit
1.0
6.268 0.000 0.000
0.000 6.268 0.000
0.000 0.000 6.268
Nb Re Ni
8 4 4
Direct
0.000 0.000 0.000 Nb
0.000 0.500 0.500 Nb
0.250 0.250 0.250 Nb
0.250 0.750 0.750 Nb
0.500 0.000 0.500 Nb
0.500 0.500 0.000 Nb
0.750 0.250 0.750 Nb
0.750 0.750 0.250 Nb
0.000 0.000 0.500 Re
0.000 0.500 0.000 Re
0.500 0.000 0.000 Re
0.500 0.500 0.500 Re
0.250 0.250 0.750 Ni
0.250 0.750 0.250 Ni
0.750 0.250 0.250 Ni
0.750 0.750 0.750 Ni

***

GGA-PBE BeTc2, relaxed; raw total energy = -7.483 eV/atom
1.0
0.000 3.552 3.552
3.552 0.000 3.552
3.552 3.552 0.000
Be Tc
2 4
Direct
0.125 0.125 0.125 Be
0.875 0.875 0.875 Be
0.000 0.500 0.500 Tc
0.500 0.000 0.500 Tc
0.500 0.500 0.000 Tc
0.500 0.500 0.500 Tc

***

GGA-PBE Ba4Ir3S, relaxed; raw total energy = -5.236 eV/atom
1.0
5.975 0.000 0.000
0.000 4.570 0.000
-0.035 0.000 8.977
Ba Ir S
4 3 1
Direct
0.000 0.000 0.000 Ba
0.164 0.500 0.355 Ba
0.503 0.500 0.868 Ba
0.669 0.000 0.519 Ba
0.036 0.500 0.700 Ir
0.526 0.000 0.168 Ir
0.647 0.500 0.210 Ir
0.149 0.000 0.662 S

***

GGA-PBE LuNiGePt, relaxed; raw total energy = -5.678 eV/atom
1.0
6.471 0.000 0.000
0.000 6.471 0.000
0.000 0.000 6.471
Lu Ni Ge Pt
4 4 4 4
Direct
0.000 0.000 0.000 Lu
0.000 0.500 0.500 Lu
0.500 0.000 0.500 Lu
0.500 0.500 0.000 Lu
0.000 0.000 0.500 Ni
0.000 0.500 0.000 Ni
0.500 0.000 0.000 Ni
0.500 0.500 0.500 Ni
0.250 0.250 0.250 Ge
0.250 0.750 0.750 Ge
0.750 0.250 0.750 Ge
0.750 0.750 0.250 Ge
0.250 0.250 0.750 Pt
0.250 0.750 0.250 Pt
0.750 0.250 0.250 Pt
0.750 0.750 0.750 Pt

***

GGA-PBE SmFe2, relaxed; E_form = 0.08 eV per formula unit
1.0
0.000 3.661 3.661
3.661 0.000 3.661
3.661 3.661 0.000
Sm Fe
2 4
Direct
0.125 0.125 0.125 Sm
0.875 0.875 0.875 Sm
0.000 0.500 0.500 Fe
0.500 0.000 0.500 Fe
0.500 0.500 0.000 Fe
0.500 0.500 0.500 Fe

***

no.,spin magnetization (μB/f.u.)
1,0.34
2,0.00
3,0.00
4,0.06
5,0.00
6,0.03
7,0.00
8,3.71